Record 1
4
Lattice="3.166 0.004 0.000 -1.123 2.960 0.000 0.000 0.000 10.658" Properties=species:S:1:pos:R:3 comment="ZrMoPb2 PBE relaxed" magnetic_moment_mub_per_fu=0.0 total_energy_ry_per_atom=-0.4742 dos_at_fermi_per_ev_cell=3.3 ef_ev_per_fu=0.99 pbc="T T T"
Mo 1.022 1.482 7.774
Zr 0.000 0.000 5.741
Pb 1.022 1.482 3.018
Pb 0.000 0.000 10.112



Record 2
4
Lattice="-2.780 -1.475 3.832 -3.433 3.039 1.888 -4.815 -0.982 -0.662" Properties=species:S:1:pos:R:3 comment="ZrMoPb2 PBE relaxed" magnetic_moment_mub_per_fu=0.0 total_energy_ry_per_atom=-0.4645 dos_at_fermi_per_ev_cell=1.8 ef_ev_per_fu=1.52 pbc="T T T"
Pb -2.757 0.146 1.264
Pb -8.270 0.437 3.793
Mo -5.514 0.291 2.529
Zr 0.000 0.000 0.000



Record 3
4
Lattice="-2.263 0.799 2.123 0.730 -3.120 0.012 6.577 1.564 6.423" Properties=species:S:1:pos:R:3 comment="Zr2MoPb PBE relaxed" magnetic_moment_mub_per_fu=0.0 total_energy_ry_per_atom=-0.5822 dos_at_fermi_per_ev_cell=3.7 ef_ev_per_fu=-0.05 pbc="T T T"
Mo 0.878 -0.769 2.673
Pb 4.166 0.013 5.884
Zr 0.193 0.046 0.189
Zr 3.095 0.736 3.023



Record 4
8
Lattice="-1.209 2.675 -3.111 0.567 -3.104 -2.889 -10.368 -3.253 -1.707" Properties=species:S:1:pos:R:3 comment="ZrMoPb2 PBE relaxed" magnetic_moment_mub_per_fu=0.0 total_energy_ry_per_atom=-0.4460 dos_at_fermi_per_ev_cell=5.6 ef_ev_per_fu=2.52 pbc="T T T"
Zr -5.061 -3.286 -3.798
Zr -0.321 -0.214 -3.000
Pb -3.283 0.483 -2.747
Pb -2.383 -2.432 -2.606
Pb -8.020 -2.586 -3.516
Pb -8.336 -2.830 -6.544
Mo -5.950 -0.396 -3.909
Mo 0.000 0.000 0.000



Copy entry 1 word for word.
4
Lattice="3.166 0.004 0.000 -1.123 2.960 0.000 0.000 0.000 10.658" Properties=species:S:1:pos:R:3 comment="ZrMoPb2 PBE relaxed" magnetic_moment_mub_per_fu=0.0 total_energy_ry_per_atom=-0.4742 dos_at_fermi_per_ev_cell=3.3 ef_ev_per_fu=0.99 pbc="T T T"
Mo 1.022 1.482 7.774
Zr 0.000 0.000 5.741
Pb 1.022 1.482 3.018
Pb 0.000 0.000 10.112